# 1
Ir2OsRh3 | Alexandria | GGA-PBE | optimized geometry; space group = Pnnm, No. 58; crystal system = orthorhombic; formation enthalpy at 0 K = 3.696 kcal/mol of atoms; E_tot = -0.6130 Ry per atom; density = 16.6 Mg/m³
1.0
-0.430 1.020 2.480
-0.492 -4.353 1.706
13.624 -0.529 2.578
Ir Os Rh
4 2 6
Direct
0.500 0.168 0.344
0.000 0.668 0.156
0.000 0.332 0.844
0.500 0.832 0.656
0.000 0.000 0.500
0.500 0.500 0.000
0.000 0.000 0.000
0.500 0.500 0.500
0.500 0.834 0.840
0.500 0.166 0.160
0.000 0.334 0.660
0.000 0.666 0.340

# 2
Ir3Os2Rh2 | Alexandria | GGA-PBE | optimized geometry; space group = C2/m, No. 12; crystal system = monoclinic; formation enthalpy at 0 K = 4.430 kcal/mol of atoms; E_tot = -0.6552 Ry per atom; density = 18.7 Mg/m³
1.0
2.654 -0.001 -0.596
-1.830 6.014 -1.946
0.121 -0.835 6.760
Ir Os Rh
3 2 2
Direct
0.500 0.000 0.000
0.144 0.716 0.571
0.856 0.284 0.429
0.091 0.887 0.294
0.909 0.113 0.706
0.702 0.557 0.846
0.298 0.443 0.154

# 3
Ir8Os3Rh | Alexandria | GGA-PBE | optimized geometry; space group = I-42m, No. 121; crystal system = tetragonal; formation enthalpy at 0 K = 32.988 kcal/mol of atoms; E_tot = -0.5804 Ry per atom; density = 12.9 Mg/m³
1.0
7.546 -0.817 -1.299
-3.737 6.607 1.299
-3.737 -1.689 6.518
Ir Os Rh
8 3 1
Direct
0.740 0.049 0.049
0.260 0.310 0.310
0.000 0.951 0.690
0.000 0.690 0.951
0.267 0.804 0.804
0.733 0.538 0.538
0.000 0.196 0.462
0.000 0.462 0.196
0.500 0.750 0.250
0.500 0.250 0.750
0.000 0.500 0.500
0.000 0.000 0.000

# 4
IrOs2Rh | Alexandria | GGA-PBE | optimized geometry; space group = Cmmm, No. 65; crystal system = orthorhombic; formation enthalpy at 0 K = 1.978 kcal/mol of atoms; E_tot = -0.7043 Ry per atom; density = 19.6 Mg/m³
1.0
-1.484 2.734 3.589
3.866 -2.444 1.281
1.570 2.018 -0.888
Rh Ir Os
1 1 2
Direct
0.500 0.000 0.500
0.000 0.500 0.500
0.000 0.000 0.000
0.500 0.500 0.000

# 5
Ir6OsRh8 | Alexandria | GGA-PBE | optimized geometry; space group = R-3, No. 148; crystal system = trigonal; formation enthalpy at 0 K = 8.270 kcal/mol of atoms; E_tot = -0.5773 Ry per atom; density = 15.3 Mg/m³
1.0
7.213 0.000 0.000
3.606 6.247 0.000
3.606 2.082 5.228
Ir Os Rh
6 1 8
Direct
0.370 0.076 0.884
0.924 0.330 0.116
0.330 0.630 0.116
0.670 0.370 0.884
0.076 0.670 0.884
0.630 0.924 0.116
0.000 0.000 0.000
0.588 0.168 0.388
0.832 0.144 0.612
0.144 0.412 0.612
0.740 0.740 0.781
0.260 0.260 0.219
0.856 0.588 0.388
0.168 0.856 0.388
0.412 0.832 0.612

# 6
Ir7Os2Rh2 | Alexandria | GGA-PBE | optimized geometry; space group = C2/m, No. 12; crystal system = monoclinic; formation enthalpy at 0 K = 8.102 kcal/mol of atoms; E_tot = -0.6369 Ry per atom; density = 18.7 Mg/m³
1.0
-0.431 -3.868 -2.680
3.235 -2.462 4.572
-4.537 -1.156 3.937
Ir Os Rh
7 2 2
Direct
0.243 0.053 0.406
0.757 0.594 0.947
0.757 0.947 0.594
0.243 0.406 0.053
0.000 0.000 0.000
0.769 0.538 0.538
0.231 0.462 0.462
0.754 0.243 0.243
0.246 0.757 0.757
0.500 0.180 0.820
0.500 0.820 0.180

# 7
Ir2OsRh | Alexandria | GGA-PBE | optimized geometry; space group = R3m, No. 160; crystal system = trigonal; formation enthalpy at 0 K = 16.747 kcal/mol of atoms; E_tot = -0.6137 Ry per atom; density = 16.4 Mg/m³
1.0
-1.185 -2.762 -2.374
1.804 -3.378 -0.060
-3.126 -3.893 3.000
Ir Os Rh
2 1 1
Direct
0.085 0.085 0.746
0.244 0.244 0.267
0.505 0.505 0.486
0.666 0.666 0.001

# 8
IrOs3Rh6 | Alexandria | GGA-PBE | optimized geometry; space group = R-3, No. 148; crystal system = trigonal; formation enthalpy at 0 K = 5.843 kcal/mol of atoms; E_tot = -0.6183 Ry per atom; density = 15.6 Mg/m³
1.0
-4.463 -3.478 3.937
6.080 -1.067 3.068
-1.398 6.609 1.371
Ir Os Rh
2 6 12
Direct
0.000 0.000 0.000
0.500 0.500 0.500
0.581 0.854 0.808
0.854 0.808 0.581
0.192 0.419 0.146
0.808 0.581 0.854
0.146 0.192 0.419
0.419 0.146 0.192
0.230 0.737 0.974
0.263 0.026 0.770
0.445 0.815 0.375
0.026 0.770 0.263
0.375 0.445 0.815
0.185 0.625 0.555
0.815 0.375 0.445
0.625 0.555 0.185
0.974 0.230 0.737
0.555 0.185 0.625
0.737 0.974 0.230
0.770 0.263 0.026

# 9
Ir6OsRh | Alexandria | GGA-PBE | optimized geometry; space group = P4/mmm, No. 123; crystal system = tetragonal; formation enthalpy at 0 K = -0.415 kcal/mol of atoms; E_tot = -0.6605 Ry per atom; density = 20.8 Mg/m³
1.0
-1.106 -3.374 1.526
-0.719 -1.367 -3.543
7.270 -2.598 -0.474
Ir Os Rh
6 1 1
Direct
0.500 0.500 0.000
0.500 0.500 0.500
0.500 0.000 0.253
0.500 0.000 0.747
0.000 0.500 0.253
0.000 0.500 0.747
0.000 0.000 0.500
0.000 0.000 0.000

# 10
IrOs2Rh | Alexandria | GGA-PBE | optimized geometry; space group = C2/m, No. 12; crystal system = monoclinic; formation enthalpy at 0 K = 1.472 kcal/mol of atoms; E_tot = -0.7059 Ry per atom; density = 19.6 Mg/m³
1.0
4.730 -0.001 -0.001
3.948 2.604 -0.001
0.783 0.235 4.648
Rh Ir Os
1 1 2
Direct
0.250 0.250 0.250
0.750 0.750 0.750
0.002 0.002 0.998
0.498 0.498 0.502

# 11
Ir4OsRh2 | Alexandria | GGA-PBE | optimized geometry; space group = Cmmm, No. 65; crystal system = orthorhombic; formation enthalpy at 0 K = 4.794 kcal/mol of atoms; E_tot = -0.6292 Ry per atom; density = 17.7 Mg/m³
1.0
-1.750 4.969 -1.140
-4.791 -1.954 -1.510
-2.525 0.731 7.066
Ir Os Rh
8 2 4
Direct
0.747 0.747 0.000
0.253 0.253 0.000
0.253 0.253 0.500
0.747 0.747 0.500
0.000 0.500 0.750
0.500 0.000 0.750
0.000 0.500 0.250
0.500 0.000 0.250
0.500 0.500 0.750
0.500 0.500 0.250
0.757 0.243 0.000
0.243 0.757 0.000
0.757 0.243 0.500
0.243 0.757 0.500

# 12
IrOs2Rh | Alexandria | GGA-PBE | optimized geometry; space group = Amm2, No. 38; crystal system = orthorhombic; formation enthalpy at 0 K = 3.748 kcal/mol of atoms; E_tot = -0.6986 Ry per atom; density = 19.0 Mg/m³
1.0
2.722 0.030 -0.168
-0.066 2.656 -0.603
0.491 0.442 8.046
Ir Os Rh
1 2 1
Direct
0.875 0.303 0.606
0.875 0.064 0.128
0.375 0.686 0.373
0.375 0.447 0.894

# 13
Ir2Os3Rh3 | Alexandria | GGA-PBE | optimized geometry; space group = Amm2, No. 38; crystal system = orthorhombic; formation enthalpy at 0 K = 6.060 kcal/mol of atoms; E_tot = -0.6556 Ry per atom; density = 17.8 Mg/m³
1.0
-2.402 -0.357 1.196
-2.674 -1.743 -5.888
2.162 -5.774 2.616
Ir Os Rh
2 3 3
Direct
0.000 0.586 0.329
0.000 0.329 0.586
0.000 0.044 0.790
0.000 0.790 0.044
0.000 0.179 0.179
0.500 0.966 0.414
0.500 0.414 0.966
0.500 0.692 0.692

# 14
Ir4Os3Rh2 | Alexandria | GGA-PBE | optimized geometry; space group = P3m1, No. 156; crystal system = trigonal; formation enthalpy at 0 K = 1.667 kcal/mol of atoms; E_tot = -0.6793 Ry per atom; density = 19.6 Mg/m³
1.0
1.371 -2.374 0.000
1.371 2.374 0.000
0.000 0.000 20.156
Ir Os Rh
4 3 2
Direct
0.000 0.000 0.455
0.333 0.667 0.569
0.333 0.667 0.784
0.000 0.000 0.238
0.000 0.000 0.017
0.000 0.000 0.677
0.333 0.667 0.346
0.333 0.667 0.911
0.333 0.667 0.125

# 15
Ir3OsRh2 | Alexandria | GGA-PBE | optimized geometry; space group = Cmmm, No. 65; crystal system = orthorhombic; formation enthalpy at 0 K = 7.770 kcal/mol of atoms; E_tot = -0.6185 Ry per atom; density = 18.1 Mg/m³
1.0
-3.329 -2.125 -3.630
3.353 -2.986 -1.327
-3.948 -3.204 5.496
Ir Os Rh
6 2 4
Direct
0.000 0.159 0.318
0.500 0.841 0.682
0.000 0.500 0.000
0.500 0.500 0.000
0.000 0.841 0.682
0.500 0.159 0.318
0.250 0.000 0.000
0.750 0.000 0.000
0.750 0.673 0.346
0.250 0.327 0.654
0.250 0.673 0.346
0.750 0.327 0.654

# 16
IrOsRh3 | Alexandria | GGA-PBE | optimized geometry; space group = Pm-3m, No. 221; crystal system = cubic; formation enthalpy at 0 K = 41.881 kcal/mol of atoms; E_tot = -0.4860 Ry per atom; density = 11.6 Mg/m³
1.0
-3.603 2.293 -1.770
-2.861 -2.370 2.752
0.457 3.240 3.266
Rh Ir Os
3 1 1
Direct
0.000 0.500 0.000
0.000 0.000 0.500
0.500 0.000 0.000
0.500 0.500 0.500
0.000 0.000 0.000

# 17
Ir3Os2Rh | Alexandria | GGA-PBE | optimized geometry; space group = P2_1/m, No. 11; crystal system = monoclinic; formation enthalpy at 0 K = 0.245 kcal/mol of atoms; E_tot = -0.6900 Ry per atom; density = 20.4 Mg/m³
1.0
3.850 0.000 0.000
0.000 5.424 0.556
0.000 -0.824 8.195
Ir Os Rh
6 4 2
Direct
0.750 0.126 0.584
0.250 0.874 0.416
0.750 0.624 0.254
0.250 0.376 0.746
0.250 0.374 0.081
0.750 0.626 0.919
0.250 0.379 0.424
0.750 0.621 0.576
0.750 0.121 0.921
0.250 0.879 0.079
0.250 0.875 0.754
0.750 0.125 0.246

# 18
IrOsRh2 | Alexandria | GGA-PBE | optimized geometry; space group = Pmm2, No. 25; crystal system = orthorhombic; formation enthalpy at 0 K = 0.230 kcal/mol of atoms; E_tot = -0.6386 Ry per atom; density = 17.1 Mg/m³
1.0
-0.825 2.396 -1.003
-0.976 -1.720 -3.307
-4.997 -0.905 1.946
Rh Ir Os
2 1 1
Direct
0.000 0.000 0.997
0.500 0.500 0.250
0.000 0.000 0.507
0.500 0.500 0.747

# 19
Ir2OsRh2 | Alexandria | GGA-PBE | optimized geometry; space group = P4/mbm, No. 127; crystal system = tetragonal; formation enthalpy at 0 K = 11.962 kcal/mol of atoms; E_tot = -0.6036 Ry per atom; density = 16.7 Mg/m³
1.0
3.543 0.000 0.000
0.000 6.619 0.000
0.000 0.000 6.619
Ir Os Rh
4 2 4
Direct
0.000 0.131 0.631
0.000 0.631 0.869
0.000 0.869 0.369
0.000 0.369 0.131
0.000 0.000 0.000
0.000 0.500 0.500
0.500 0.334 0.834
0.500 0.834 0.666
0.500 0.666 0.166
0.500 0.166 0.334

# 20
Ir5OsRh2 | Alexandria | GGA-PBE | optimized geometry; space group = I4/mcm, No. 140; crystal system = tetragonal; formation enthalpy at 0 K = 7.943 kcal/mol of atoms; E_tot = -0.6200 Ry per atom; density = 18.6 Mg/m³
1.0
6.622 0.000 0.000
0.000 6.622 0.000
-3.311 -3.311 5.514
Ir Os Rh
10 2 4
Direct
0.478 0.683 0.661
0.817 0.022 0.339
0.000 0.000 0.000
0.500 0.500 0.000
0.183 0.978 0.661
0.683 0.183 0.661
0.978 0.478 0.661
0.317 0.817 0.339
0.022 0.522 0.339
0.522 0.317 0.339
0.750 0.750 0.500
0.250 0.250 0.500
0.139 0.361 0.000
0.639 0.139 0.000
0.361 0.861 0.000
0.861 0.639 0.000

# 21
IrOs2Rh | Alexandria | GGA-PBE | optimized geometry; space group = P4/mmm, No. 123; crystal system = tetragonal; formation enthalpy at 0 K = 12.264 kcal/mol of atoms; E_tot = -0.6715 Ry per atom; density = 18.9 Mg/m³
1.0
4.695 0.000 0.000
0.000 4.695 0.000
0.000 0.000 2.695
Ir Os Rh
1 2 1
Direct
0.000 0.000 0.500
0.500 0.000 0.000
0.000 0.500 0.000
0.500 0.500 0.500

# 22
IrOsRu4Rh2 | Alexandria | GGA-PBE | optimized geometry; space group = P2/m, No. 10; crystal system = monoclinic; formation enthalpy at 0 K = 1.151 kcal/mol of atoms; E_tot = -0.6569 Ry per atom; density = 14.6 Mg/m³
1.0
-0.444 -1.468 2.236
-1.316 -7.327 -5.072
4.393 -1.656 -0.215
Ir Os Ru Rh
1 1 4 2
Direct
0.500 0.500 0.000
0.000 0.500 0.500
0.000 0.749 0.747
0.000 0.251 0.253
0.500 0.747 0.253
0.500 0.253 0.747
0.000 0.000 0.000
0.500 0.000 0.500

# 23
IrOsRuRh | Alexandria | GGA-PBE | optimized geometry; space group = Amm2, No. 38; crystal system = orthorhombic; formation enthalpy at 0 K = 3.570 kcal/mol of atoms; E_tot = -0.6633 Ry per atom; density = 16.9 Mg/m³
1.0
-2.368 0.163 -1.284
-1.482 -3.175 2.331
-0.472 3.238 4.109
Ir Os Ru Rh
1 1 1 1
Direct
0.604 0.000 0.139
0.004 0.500 0.939
0.350 0.000 0.632
0.749 0.500 0.430